Record 1
A plane-wave DFT calculation with PBE-GGA was carried out for Be2CuAu2 after structural relaxation.

Computed properties:
- E above lowest polymorph (meV per atom) = 8
- volume (Å³/atom) = 12.78
- DFT total energy (eV per atom) = -3.7253
- total magnetization (μB/f.u.) = 0.00

Unit cell a=3.6780 b=5.0638 c=6.8617 alpha=90.00 beta=90.00 gamma=90.00
Last column: nearest neighbours and their distance in Å.
Space group Immm (No. 71)
One atom of each set of equivalent atoms:
Be: 0.0000 0.2240 0.0000 x4  1 Be 2.27, 2 Cu 2.31, 2 Au 2.47
Cu: 0.0000 0.0000 0.5000 x2  4 Be 2.31
Au: 0.0000 0.5000 0.2962 x4  6 Be 2.47-2.57, 2 Cu 2.74

---

Record 2
A plane-wave DFT calculation with PBE-GGA was carried out for BeCuAu after structural relaxation.

Computed properties:
- E above lowest polymorph (meV per atom) = 0
- volume (Å³/atom) = 12.68
- DFT total energy (eV per atom) = -3.8228
- total magnetization (μB/f.u.) = 0.00

Unit cell a=5.0013 b=3.7542 c=8.1017 alpha=90.00 beta=90.00 gamma=90.00
Last column: nearest neighbours and their distance in Å.
Space group Pnma (No. 62)
One atom of each set of equivalent atoms:
Be: 0.2451 0.2500 0.1448 x4  4 Cu 2.40-2.42, 5 Au 2.45-2.62
Cu: 0.0047 0.2500 0.7525 x4  4 Be 2.40-2.42, 2 Cu 2.50
Au: 0.2455 0.2500 0.4499 x4  5 Be 2.45-2.62, 2 Cu 2.73-2.74

---

Record 3
A plane-wave DFT calculation with PBE-GGA was carried out for BeCuAu2 after structural relaxation.

Computed properties:
- volume (Å³/atom) = 14.06
- DFT total energy (eV per atom) = -3.6990
- total magnetization (μB/f.u.) = 0.00

Unit cell a=2.9149 b=2.8887 c=6.6795 alpha=90.00 beta=90.20 gamma=90.00
Last column: nearest neighbours and their distance in Å.
Space group P2/m (No. 10)
One atom of each set of equivalent atoms:
Be: 0.0000 0.0000 0.0000 x1  8 Au 2.53-2.54
Cu: 0.0000 0.0000 0.5000 x1  8 Au 2.76-2.77, 4 Cu 2.89-2.91
Au: 0.4986 0.5000 0.7771 x2  4 Be 2.53-2.54, 4 Cu 2.76-2.77

---

Record 4
A plane-wave DFT calculation with PBE-GGA was carried out for Be4Cu3Au after structural relaxation.

Computed properties:
- volume (Å³/atom) = 10.63
- DFT total energy (eV per atom) = -3.9176
- total magnetization (μB/f.u.) = 0.00

Unit cell a=3.8857 b=3.8857 c=5.6342 alpha=90.00 beta=90.00 gamma=90.00
Last column: nearest neighbours and their distance in Å.
Space group P4/mmm (No. 123)
One atom of each set of equivalent atoms:
Be: 0.0000 0.5000 0.2279 x4  6 Cu 2.33-2.48, 2 Au 2.48, 1 Be 2.57
Cu: 0.0000 0.0000 0.0000 x1  8 Be 2.33
Cu: 0.0000 0.0000 0.5000 x1  8 Be 2.48, 4 Au 2.75
Cu: 0.5000 0.5000 0.0000 x1  8 Be 2.33
Au: 0.5000 0.5000 0.5000 x1  8 Be 2.48, 4 Cu 2.75

---

Record 5
A plane-wave DFT calculation with PBE-GGA was carried out for BeCuAu4 after structural relaxation.

Computed properties:
- E above lowest polymorph (meV per atom) = 551
- volume (Å³/atom) = 18.70
- DFT total energy (eV per atom) = -3.0140
- total magnetization (μB/f.u.) = 0.00

Unit cell a=7.6564 b=7.6564 c=7.6564 alpha=90.00 beta=90.00 gamma=90.00
Last column: nearest neighbours and their distance in Å.
Space group F-43m (No. 216)
One atom of each set of equivalent atoms:
Be: 0.0000 0.0000 0.0000 x4  12 Au 3.17, 4 Cu 3.32
Cu: 0.2500 0.2500 0.7500 x4  12 Au 3.17, 4 Be 3.32
Au: 0.1250 0.1250 0.3750 x16  6 Au 2.71

---

Record 6
A plane-wave DFT calculation with PBE-GGA was carried out for Be3Cu2Au8 after structural relaxation.

Computed properties:
- E above lowest polymorph (meV per atom) = 0
- volume (Å³/atom) = 16.23
- DFT total energy (eV per atom) = -3.5329
- total magnetization (μB/f.u.) = 0.00

Unit cell a=7.5782 b=4.0828 c=7.5866 alpha=90.00 beta=116.00 gamma=90.00
Last column: nearest neighbours and their distance in Å.
Space group P2/m (No. 10)
One atom of each set of equivalent atoms:
Be: 0.0000 0.0000 0.0000 x1  8 Au 2.51-2.54
Be: 0.2538 0.5000 0.2529 x2  8 Au 2.48-2.53
Cu: 0.2489 0.0000 0.7488 x2  8 Au 2.64-2.68
Au: 0.1168 0.5000 0.8827 x2  4 Be 2.53-2.54, 2 Cu 2.66
Au: 0.1402 0.0000 0.3673 x2  3 Be 2.51, 2 Cu 2.64-2.68
Au: 0.3684 0.0000 0.1381 x2  3 Be 2.52, 2 Cu 2.64-2.68
Au: 0.3829 0.5000 0.6170 x2  2 Be 2.48-2.49, 2 Cu 2.66

---

Record 7
A plane-wave DFT calculation with PBE-GGA was carried out for BeCu2Au8 after structural relaxation.

Computed properties:
- E above lowest polymorph (meV per atom) = 67
- volume (Å³/atom) = 18.27
- DFT total energy (eV per atom) = -3.3881
- total magnetization (μB/f.u.) = 0.00

Unit cell a=9.7486 b=8.8703 c=4.9212 alpha=90.00 beta=109.14 gamma=90.00
Last column: nearest neighbours and their distance in Å.
Space group C2/m (No. 12)
One atom of each set of equivalent atoms:
Be: 0.0000 0.0000 0.0000 x2  2 Cu 2.34, 6 Au 2.43-2.46
Cu: 0.1283 0.0000 0.4931 x4  1 Be 2.34, 1 Cu 2.52
Au: 0.0744 0.2269 0.7966 x8  1 Be 2.46, 1 Cu 2.66
Au: 0.0850 0.5000 0.3034 x4  1 Cu 2.64, 6 Au 2.82-2.93
Au: 0.2383 0.5000 0.8992 x4  1 Be 2.43, 1 Cu 2.66

---

Record 8
A plane-wave DFT calculation with PBE-GGA was carried out for BeCuAu after structural relaxation.

Computed properties:
- E above lowest polymorph (meV per atom) = 106
- volume (Å³/atom) = 12.84
- DFT total energy (eV per atom) = -3.7168
- total magnetization (μB/f.u.) = 0.00

Unit cell a=4.0017 b=4.0017 c=2.7767 alpha=90.00 beta=90.00 gamma=120.00
Last column: nearest neighbours and their distance in Å.
Space group P3m1 (No. 156)
One atom of each set of equivalent atoms:
Be: 0.0000 0.0000 0.0000 x1  3 Cu 2.31
Cu: 0.6667 0.3333 0.0232 x1  3 Be 2.31
Au: 0.3333 0.6667 0.5199 x1  6 Be 2.67-2.72, 6 Cu 2.69-2.70, 2 Au 2.78